This record from the Alexandria database describes a relaxed structure of Cs2HfS4. The functional is PBE.

Summary:
Its crystal system is orthorhombic. The energy above the lowest structure with this stoichiometry comes out at 72 meV/atom. The value obtained for the density of states at the Fermi level is 5.42 states/eV per cell. The electronic total energy is -0.1840 hartree per atom.

abc: 3.8675 8.7077 8.7077
angles: 99.33 90.00 90.00
Last column: nearest neighbours and their distance in Å.
Atoms (fractional coordinates):
S (0.5000, 0.1520, 0.1520)  2 Hf 2.58
Cs (0.5000, 0.5000, 0.0000)  6 S 3.50-3.52, 2 Cs 3.87
S (0.5000, 0.8480, 0.8480)  2 Hf 2.58
Cs (0.5000, 0.0000, 0.5000)  6 S 3.50-3.52, 2 Cs 3.87
Hf (0.0000, 0.0000, 0.0000)  6 S 2.49-2.58
S (0.0000, 0.8128, 0.1872)  1 Hf 2.49
S (0.0000, 0.1872, 0.8128)  1 Hf 2.49